VASP calculation (PBE) on a relaxed structure of Li6Cu3Pd.

```
data_Li6Cu3Pd
_space_group_name_H-M_alt 'R -3'
_space_group_IT_number 148
_space_group_name_Hall '-R 3'
_cell_length_a 9.4889
_cell_length_b 9.4889
_cell_length_c 11.6298
_cell_angle_alpha 90.00
_cell_angle_beta 90.00
_cell_angle_gamma 120.00
loop_
_atom_site_label
_atom_site_fract_x
_atom_site_fract_y
_atom_site_fract_z
Li1 0.0063 0.4433 0.2066
Li2 0.0309 0.1813 0.3063
Cu1 0.0580 0.5826 0.5857
Pd1 0.0000 0.0000 0.0000
Pd2 0.0000 0.0000 0.5000
```

Uncorrected energy = -2.9384 eV per atom
Magnetization = 0.00 μB per formula unit



VASP calculation (PBE) on a relaxed structure of Li3CuPd5.

```
data_Li3CuPd5
_space_group_name_H-M_alt 'I 4/m c m'
_space_group_IT_number 140
_space_group_name_Hall '-I 4 2c'
_cell_length_a 6.035
_cell_length_b 6.035
_cell_length_c 13.884
_cell_angle_alpha 90.00
_cell_angle_beta 90.00
_cell_angle_gamma 90.00
loop_
_atom_site_label
_atom_site_fract_x
_atom_site_fract_y
_atom_site_fract_z
Li1 0.000 0.000 0.250
Li2 0.117 0.383 0.000
Cu1 0.000 0.500 0.250
Pd1 0.000 0.000 0.000
Pd2 0.230 0.270 0.359
```

Uncorrected energy = -4.1493 eV per atom
Magnetization = 0.00 μB per formula unit



VASP calculation (PBE) on a relaxed structure of LiCu2Pd.

```
data_LiCu2Pd
_space_group_name_H-M_alt 'I -4 2 d'
_space_group_IT_number 122
_space_group_name_Hall 'I -4 2bw'
_cell_length_a 3.490
_cell_length_b 3.490
_cell_length_c 18.148
_cell_angle_alpha 90.00
_cell_angle_beta 90.00
_cell_angle_gamma 90.00
loop_
_atom_site_label
_atom_site_fract_x
_atom_site_fract_y
_atom_site_fract_z
Li1 0.000 0.000 0.000
Cu1 0.249 0.250 0.125
Pd1 0.000 0.000 0.500
```

Uncorrected energy = -3.7834 eV per atom
Magnetization = 0.00 μB per formula unit



VASP calculation (PBE) on a relaxed structure of Li5CuPd.

```
data_Li5CuPd
_space_group_name_H-M_alt 'C 1 2/c 1'
_space_group_IT_number 15
_space_group_name_Hall '-C 2yc'
_cell_length_a 9.354
_cell_length_b 5.052
_cell_length_c 9.339
_cell_angle_alpha 90.00
_cell_angle_beta 100.88
_cell_angle_gamma 90.00
loop_
_atom_site_label
_atom_site_fract_x
_atom_site_fract_y
_atom_site_fract_z
Li1 0.000 0.219 0.250
Li2 0.141 0.468 0.024
Li3 0.229 0.064 0.688
Cu1 0.000 0.280 0.750
Pd1 0.000 0.000 0.000
```

Uncorrected energy = -2.7964 eV per atom
E above lowest polymorph = 0.000 eV per atom
Magnetization = 0.00 μB per formula unit